Arrangement A

Below is a relaxed Mg2In2Ge crystal, with properties calculated at the PBE level.

Unit cell a=7.1683 b=7.1683 c=4.6646 alpha=90.00 beta=90.00 gamma=90.00
Closest atoms and distances in Å follow each position.
Element x y z (fractional)
Mg 0.1497 0.3503 0.0000  2 Ge 2.73, 1 Mg 3.03, 2 In 3.04
Mg 0.3503 0.8503 0.0000  2 Ge 2.73, 1 Mg 3.03, 2 In 3.04
Mg 0.6497 0.1497 0.0000  2 Ge 2.73, 1 Mg 3.03, 2 In 3.04
Mg 0.8503 0.6497 0.0000  2 Ge 2.73, 1 Mg 3.03, 2 In 3.04
In 0.1585 0.6585 0.5000  6 Mg 3.04-3.21, 1 In 3.21
In 0.3415 0.1585 0.5000  6 Mg 3.04-3.21, 1 In 3.21
In 0.6585 0.8415 0.5000  6 Mg 3.04-3.21, 1 In 3.21
In 0.8415 0.3415 0.5000  6 Mg 3.04-3.21, 1 In 3.21
Ge 0.0000 0.0000 0.0000  4 Mg 2.73
Ge 0.5000 0.5000 0.0000  4 Mg 2.73

Summary:
N(E_F) = 3.9 states/eV/cell
Calculated density = 4.9 g cm⁻³
Size of the total moment = 0.00 μB per cell
Space-group type = No. 127

Arrangement B

Below is a relaxed Mg2In2Ge crystal, with properties calculated at the PBE level.

Unit cell a=8.4647 b=8.4647 c=3.2840 alpha=90.00 beta=90.00 gamma=90.00
Closest atoms and distances in Å follow each position.
Element x y z (fractional)
Mg 0.1692 0.3308 0.0000  6 In 2.89-3.05
Mg 0.3308 0.8308 0.0000  6 In 2.89-3.05
Mg 0.6692 0.1692 0.0000  6 In 2.89-3.05
Mg 0.8308 0.6692 0.0000  6 In 2.89-3.05
In 0.1316 0.6316 0.5000  6 Mg 2.89-3.05, 1 In 3.15
In 0.3684 0.1316 0.5000  6 Mg 2.89-3.05, 1 In 3.15
In 0.6316 0.8684 0.5000  6 Mg 2.89-3.05, 1 In 3.15
In 0.8684 0.3684 0.5000  6 Mg 2.89-3.05, 1 In 3.15
Ge 0.0000 0.0000 0.5000  2 Ge 3.28, 4 In 3.31, 8 Mg 3.55
Ge 0.5000 0.5000 0.5000  2 Ge 3.28, 4 In 3.31, 8 Mg 3.55

Summary:
N(E_F) = 4.4 states/eV/cell
Calculated density = 5.0 g cm⁻³
Size of the total moment = 0.00 μB per cell
Space-group type = No. 127

The energy of each structure relative to the most stable one, in meV per atom, is as follows: arrangement A 0; arrangement B 56.

Arrangement A

Below is a relaxed NaMgInGe2 crystal, with properties calculated at the PBE level.

Unit cell a=5.0739 b=5.0739 c=5.4835 alpha=90.00 beta=90.00 gamma=90.00
Closest atoms and distances in Å follow each position.
Element x y z (fractional)
Na 0.0000 0.0000 0.0000  2 Mg 2.74
Mg 0.0000 0.0000 0.5000  4 Ge 2.54, 2 Na 2.74
In 0.5000 0.5000 0.0000  4 Na 3.59, 8 Ge 3.74
Ge 0.0000 0.5000 0.5000  2 Mg 2.54
Ge 0.5000 0.0000 0.5000  2 Mg 2.54

Summary:
N(E_F) = 2.9 states/eV/cell
Calculated density = 3.6 g cm⁻³
Size of the total moment = 0.00 μB per cell
Space-group type = No. 123

Arrangement B

Below is a relaxed NaMgInGe2 crystal, with properties calculated at the PBE level.

Unit cell a=5.1218 b=5.1218 c=5.5053 alpha=90.00 beta=90.00 gamma=90.00
Closest atoms and distances in Å follow each position.
Element x y z (fractional)
Na 0.0000 0.0000 0.0000  4 In 3.62, 8 Ge 3.76
Mg 0.5000 0.5000 0.5000  4 Ge 2.56, 2 In 2.75
In 0.5000 0.5000 0.0000  2 Mg 2.75
Ge 0.0000 0.5000 0.5000  2 Mg 2.56
Ge 0.5000 0.0000 0.5000  2 Mg 2.56

Summary:
N(E_F) = 3.3 states/eV/cell
Calculated density = 3.5 g cm⁻³
Size of the total moment = 0.00 μB per cell
Space-group type = No. 123

The energy of each structure relative to the most stable one, in meV per atom, is as follows: arrangement A 70; arrangement B 0.

Arrangement A

Below is a relaxed MnIn3Ge crystal, with properties calculated at the PBE level.

Unit cell a=5.3531 b=5.3531 c=5.3531 alpha=90.00 beta=90.00 gamma=90.00
Closest atoms and distances in Å follow each position.
Element x y z (fractional)
Mn 0.0000 0.0000 0.0000  12 In 3.79
In 0.0000 0.5000 0.5000  2 Ge 2.68
In 0.5000 0.0000 0.5000  2 Ge 2.68
In 0.5000 0.5000 0.0000  2 Ge 2.68
Ge 0.5000 0.5000 0.5000  6 In 2.68

Summary:
N(E_F) = 4.2 states/eV/cell
Calculated density = 5.1 g cm⁻³
Size of the total moment = 4.34 μB per cell
Space-group type = No. 221

Arrangement B

Below is a relaxed MnIn3Ge crystal, with properties calculated at the PBE level.

Unit cell a=5.0620 b=5.0620 c=5.0620 alpha=90.00 beta=90.00 gamma=90.00
Closest atoms and distances in Å follow each position.
Element x y z (fractional)
Mn 0.0000 0.0000 0.0000  6 In 2.53
In 0.0000 0.0000 0.5000  2 Mn 2.53
In 0.0000 0.5000 0.0000  2 Mn 2.53
In 0.5000 0.0000 0.0000  2 Mn 2.53
Ge 0.5000 0.5000 0.5000  12 In 3.58

Summary:
N(E_F) = 2.7 states/eV/cell
Calculated density = 6.0 g cm⁻³
Size of the total moment = 2.36 μB per cell
Space-group type = No. 221

The energy of each structure relative to the most stable one, in meV per atom, is as follows: arrangement A 271; arrangement B 0.

Arrangement A

Below is a relaxed InGeMo3 crystal, with properties calculated at the PBE level.

Unit cell a=4.6443 b=4.6443 c=4.6443 alpha=90.00 beta=90.00 gamma=90.00
Closest atoms and distances in Å follow each position.
Element x y z (fractional)
In 0.0000 0.0000 0.0000  12 Mo 3.28
Ge 0.5000 0.5000 0.5000  6 Mo 2.32
Mo 0.0000 0.5000 0.5000  2 Ge 2.32
Mo 0.5000 0.0000 0.5000  2 Ge 2.32
Mo 0.5000 0.5000 0.0000  2 Ge 2.32

Summary:
N(E_F) = 7.1 states/eV/cell
Calculated density = 7.9 g cm⁻³
Size of the total moment = 0.00 μB per cell
Space-group type = No. 221

Arrangement B

Below is a relaxed InGeMo3 crystal, with properties calculated at the PBE level.

Unit cell a=4.8893 b=4.8893 c=4.8893 alpha=90.00 beta=90.00 gamma=90.00
Closest atoms and distances in Å follow each position.
Element x y z (fractional)
In 0.0000 0.0000 0.0000  6 Mo 2.44
Ge 0.5000 0.5000 0.5000  12 Mo 3.46
Mo 0.0000 0.0000 0.5000  2 In 2.44
Mo 0.0000 0.5000 0.0000  2 In 2.44
Mo 0.5000 0.0000 0.0000  2 In 2.44

Summary:
N(E_F) = 5.6 states/eV/cell
Calculated density = 6.8 g cm⁻³
Size of the total moment = 0.00 μB per cell
Space-group type = No. 221

The energy of each structure relative to the most stable one, in meV per atom, is as follows: arrangement A 0; arrangement B 1281.

Arrangement A

Below is a relaxed TiInGeMo2 crystal, with properties calculated at the PBE level.

Unit cell a=4.9163 b=4.9163 c=4.8779 alpha=90.00 beta=90.00 gamma=90.00
Closest atoms and distances in Å follow each position.
Element x y z (fractional)
Ti 0.0000 0.0000 0.0000  2 In 2.44
In 0.0000 0.0000 0.5000  2 Ti 2.44, 4 Mo 2.46
Ge 0.5000 0.5000 0.0000  8 Mo 3.46, 4 Ti 3.48
Mo 0.0000 0.5000 0.5000  2 In 2.46
Mo 0.5000 0.0000 0.5000  2 In 2.46

Summary:
N(E_F) = 9.2 states/eV/cell
Calculated density = 6.0 g cm⁻³
Size of the total moment = 0.00 μB per cell
Space-group type = No. 123

Arrangement B

Below is a relaxed TiInGeMo2 crystal, with properties calculated at the PBE level.

Unit cell a=4.6775 b=4.6775 c=5.2475 alpha=90.00 beta=90.00 gamma=90.00
Closest atoms and distances in Å follow each position.
Element x y z (fractional)
Ti 0.0000 0.0000 0.0000  4 Mo 2.34
In 0.0000 0.0000 0.5000  2 Ti 2.62
Ge 0.5000 0.5000 0.5000  4 In 3.31, 8 Mo 3.51
Mo 0.0000 0.5000 0.0000  2 Ti 2.34
Mo 0.5000 0.0000 0.0000  2 Ti 2.34

Summary:
N(E_F) = 7.2 states/eV/cell
Calculated density = 6.2 g cm⁻³
Size of the total moment = 1.74 μB per cell
Space-group type = No. 123

The energy of each structure relative to the most stable one, in meV per atom, is as follows: arrangement A 584; arrangement B 0.

Arrangement A

Below is a relaxed YInGe2Mo crystal, with properties calculated at the PBE level.

Unit cell a=4.8536 b=4.8536 c=5.2236 alpha=90.00 beta=90.00 gamma=90.00
Closest atoms and distances in Å follow each position.
Element x y z (fractional)
Y 0.0000 0.0000 0.0000  4 In 3.43, 8 Ge 3.57
In 0.5000 0.5000 0.0000  2 Mo 2.61
Ge 0.0000 0.5000 0.5000  2 Mo 2.43
Ge 0.5000 0.0000 0.5000  2 Mo 2.43
Mo 0.5000 0.5000 0.5000  4 Ge 2.43, 2 In 2.61

Summary:
N(E_F) = 3.3 states/eV/cell
Calculated density = 6.0 g cm⁻³
Size of the total moment = 0.00 μB per cell
Space-group type = No. 123

Arrangement B

Below is a relaxed YInGe2Mo crystal, with properties calculated at the PBE level.

Unit cell a=5.1899 b=5.1899 c=5.5467 alpha=90.00 beta=90.00 gamma=90.00
Closest atoms and distances in Å follow each position.
Element x y z (fractional)
Y 0.0000 0.0000 0.0000  4 Ge 2.59, 2 In 2.77
In 0.0000 0.0000 0.5000  2 Y 2.77
Ge 0.0000 0.5000 0.0000  2 Y 2.59
Ge 0.5000 0.0000 0.0000  2 Y 2.59
Mo 0.5000 0.5000 0.5000  4 In 3.67, 8 Ge 3.80

Summary:
N(E_F) = 6.4 states/eV/cell
Calculated density = 4.9 g cm⁻³
Size of the total moment = 0.12 μB per cell
Space-group type = No. 123

The energy of each structure relative to the most stable one, in meV per atom, is as follows: arrangement A 0; arrangement B 1500.